This record from the Alexandria database describes Mg2CuMo after structural relaxation. The functional is PBE.

Computed properties:
The relative energy among the computed polymorphs is 156 meV per atom. Its space group is No. 25. The total magnetization is 0.000 μB per atom. The density of states at the Fermi level is 2.5 states/eV per cell. The formation energy is 1.252 eV/f.u.

Lattice parameters (Å, degrees): 2.8245 4.0039 5.8658 90.00 90.00 90.00
Closest atoms and distances in Å follow each position.
Element x y z (fractional)
Cu: 0.5000 0.5000 0.7342  5 Mg 2.74-2.86, 4 Mo 2.77, 2 Cu 2.82
Mg: 0.0000 0.0000 0.9850  1 Mo 2.76, 6 Mg 2.82-2.96, 4 Cu 2.86
Mg: 0.5000 0.5000 0.2669  1 Cu 2.74, 6 Mg 2.82-2.96, 4 Mo 2.85
Mo: 0.0000 0.0000 0.5139  5 Mg 2.76-2.85, 4 Cu 2.77, 2 Mo 2.82